A relaxed structure of MnO2. Source: the Alexandria database, functional PBE+U.

Summary:
As for the mass density: 3.6 g/cm³. For the total energy, the calculation gives -7.112 eV per atom. The density of states at the Fermi level is 0.00 states/eV per atom. The value obtained for the size of the total moment is 3.00 μB/f.u.

a b c (Å): 2.929 2.929 16.361
angles (deg): 90.00 90.00 120.00
Sites, in units of the cell vectors:
Mn1 0.000 0.000 0.000
Mn2 0.333 0.667 0.667
Mn3 0.667 0.333 0.333
O1 0.000 0.000 0.392
O2 0.000 0.000 0.608
O3 0.333 0.667 0.059
O4 0.333 0.667 0.275
O5 0.667 0.333 0.725
O6 0.667 0.333 0.941